a) VASP calculation (GGA-PBE) on crystalline DyTm2Pt2 at its relaxed geometry.

The structure in CIF format:
```
data_DyTm2Pt2
_cell_length_a 3.741
_cell_length_b 27.335
_cell_length_c 4.606
_cell_angle_alpha 90.00
_cell_angle_beta 90.00
_cell_angle_gamma 90.00
_symmetry_space_group_name_H-M 'C m c m'
_symmetry_Int_Tables_number 63
_symmetry_space_group_name_Hall '-C 2c 2'
loop_
_atom_site_label
_atom_site_type_symbol
_atom_site_fract_x
_atom_site_fract_y
_atom_site_fract_z
Dy1 Dy 0.000 0.137 0.250
Tm1 Tm 0.000 0.232 0.750
Tm2 Tm 0.000 0.449 0.250
Pt1 Pt 0.000 0.033 0.250
Pt2 Pt 0.000 0.343 0.250
```

- Fermi-level density of states (states/eV/atom) = 0.7527
- crystal system = orthorhombic

---

b) VASP calculation (GGA-PBE) on crystalline DyTm2Pt2 at its relaxed geometry.

The structure in CIF format:
```
data_DyTm2Pt2
_cell_length_a 5.412
_cell_length_b 4.533
_cell_length_c 10.287
_cell_angle_alpha 90.00
_cell_angle_beta 97.97
_cell_angle_gamma 90.00
_symmetry_space_group_name_H-M 'P 1 21/m 1'
_symmetry_Int_Tables_number 11
_symmetry_space_group_name_Hall '-P 2yb'
loop_
_atom_site_label
_atom_site_type_symbol
_atom_site_fract_x
_atom_site_fract_y
_atom_site_fract_z
Dy1 Dy 0.095 0.250 0.288
Tm1 Tm 0.254 0.250 0.967
Tm2 Tm 0.389 0.250 0.618
Pt1 Pt 0.155 0.750 0.474
Pt2 Pt 0.269 0.750 0.137
```

- Fermi-level density of states (states/eV/atom) = 0.6541
- crystal system = monoclinic

---

Stability verdict: b), ahead by 4.3 kJ/mol of atoms

---

a) VASP calculation (GGA-PBE) on crystalline DyY2Pt at its relaxed geometry.

The structure in CIF format:
```
data_DyY2Pt
_cell_length_a 3.7851
_cell_length_b 3.7851
_cell_length_c 28.6379
_cell_angle_alpha 90.00
_cell_angle_beta 90.00
_cell_angle_gamma 120.00
_symmetry_space_group_name_H-M 'R -3 m'
_symmetry_Int_Tables_number 166
_symmetry_space_group_name_Hall '-R 3 2"'
loop_
_atom_site_label
_atom_site_type_symbol
_atom_site_fract_x
_atom_site_fract_y
_atom_site_fract_z
Dy1 Dy 0.0000 0.0000 0.0000
Y1 Y 0.0000 0.0000 0.2294
Pt1 Pt 0.0000 0.0000 0.5000
```

- Fermi-level density of states (states/eV/atom) = 1.3589
- crystal system = trigonal

---

b) VASP calculation (GGA-PBE) on crystalline DyY2Pt at its relaxed geometry.

The structure in CIF format:
```
data_DyY2Pt
_cell_length_a 3.766
_cell_length_b 12.207
_cell_length_c 9.577
_cell_angle_alpha 90.00
_cell_angle_beta 90.00
_cell_angle_gamma 90.00
_symmetry_space_group_name_H-M 'C m c m'
_symmetry_Int_Tables_number 63
_symmetry_space_group_name_Hall '-C 2c 2'
loop_
_atom_site_label
_atom_site_type_symbol
_atom_site_fract_x
_atom_site_fract_y
_atom_site_fract_z
Dy1 Dy 0.000 0.075 0.250
Y1 Y 0.000 0.364 0.066
Pt1 Pt 0.000 0.243 0.750
```

- Fermi-level density of states (states/eV/atom) = 1.4030
- crystal system = orthorhombic

---

Stability verdict: b), ahead by 19.7 kJ/mol of atoms

---

a) VASP calculation (GGA-PBE) on crystalline DyY2Pt at its relaxed geometry.

The structure in CIF format:
```
data_DyY2Pt
_cell_length_a 3.9085
_cell_length_b 3.9085
_cell_length_c 27.2140
_cell_angle_alpha 90.00
_cell_angle_beta 90.00
_cell_angle_gamma 120.00
_symmetry_space_group_name_H-M 'R 3 m'
_symmetry_Int_Tables_number 160
_symmetry_space_group_name_Hall 'R 3 -2"'
loop_
_atom_site_label
_atom_site_type_symbol
_atom_site_fract_x
_atom_site_fract_y
_atom_site_fract_z
Dy1 Dy 0.0000 0.0000 0.0000
Y1 Y 0.0000 0.0000 0.5597
Y2 Y 0.0000 0.0000 0.7698
Pt1 Pt 0.0000 0.0000 0.1643
```

- Fermi-level density of states (states/eV/atom) = 1.2861
- crystal system = trigonal

---

b) VASP calculation (GGA-PBE) on crystalline DyY2Pt at its relaxed geometry.

The structure in CIF format:
```
data_DyY2Pt
_cell_length_a 7.057
_cell_length_b 9.624
_cell_length_c 6.523
_cell_angle_alpha 90.00
_cell_angle_beta 90.00
_cell_angle_gamma 90.00
_symmetry_space_group_name_H-M 'P n m a'
_symmetry_Int_Tables_number 62
_symmetry_space_group_name_Hall '-P 2ac 2n'
loop_
_atom_site_label
_atom_site_type_symbol
_atom_site_fract_x
_atom_site_fract_y
_atom_site_fract_z
Dy1 Dy 0.027 0.250 0.133
Y1 Y 0.179 0.061 0.679
Pt1 Pt 0.112 0.750 0.453
```

- Fermi-level density of states (states/eV/atom) = 1.1126
- crystal system = orthorhombic

---

c) VASP calculation (GGA-PBE) on crystalline DyY2Pt at its relaxed geometry.

The structure in CIF format:
```
data_DyY2Pt
_cell_length_a 3.577
_cell_length_b 3.577
_cell_length_c 8.443
_cell_angle_alpha 90.00
_cell_angle_beta 90.00
_cell_angle_gamma 90.00
_symmetry_space_group_name_H-M 'P 4/m m m'
_symmetry_Int_Tables_number 123
_symmetry_space_group_name_Hall '-P 4 2'
loop_
_atom_site_label
_atom_site_type_symbol
_atom_site_fract_x
_atom_site_fract_y
_atom_site_fract_z
Dy1 Dy 0.000 0.000 0.000
Y1 Y 0.500 0.500 0.304
Pt1 Pt 0.000 0.000 0.500
```

- Fermi-level density of states (states/eV/atom) = 1.2754
- crystal system = tetragonal

---

Stability verdict: b), ahead by 13.8 kJ/mol of atoms